First-principles (SCAN) data for Rb3ReAu at its PBEsol-relaxed geometry, as listed in Alexandria via LeMat-Bulk.

Computed properties:
- calculated formation energy (eV/atom) = 1.377
- size of the total moment (μB/f.u.) = 2.992

a b c (Å): 6.2596 6.2596 6.2596
angles (deg): 90.00 90.00 90.00
With the nearest neighbours (Å) after each atom.
Space group Pm-3m (No. 221)
One atom of each set of equivalent atoms:
Rb 0.0000 0.0000 0.5000 (multiplicity 3)  2 Re 3.13
Re 0.0000 0.0000 0.0000 (multiplicity 1)  6 Rb 3.13
Au 0.5000 0.5000 0.5000 (multiplicity 1)  12 Rb 4.43